Below is RbMnOF2 after structural relaxation, with properties calculated at the GGA+U level.

```
RbMnOF2
1.0
4.338 0.000 0.000
0.000 4.338 0.000
0.000 0.000 3.807
Rb Mn O F
1 1 1 2
Cartesian
0.000 0.000 0.000 Rb
2.169 2.169 1.903 Mn
2.169 2.169 0.000 O
0.000 2.169 1.903 F
2.169 0.000 1.903 F
```

Distance to the lowest polymorph of the same formula   0.000 eV per atom
Crystal system   tetragonal
Theoretical density   4.5 g/cm³
E   -0.4136 Ry per atom